Version one
# Fe2BrF | Alexandria via LeMat-Bulk | GGA+U | optimized geometry
# spin magnetization	29.428	Bohr magnetons per cell
# theoretical density	4.1	g/cm3
data_Fe2BrF
_chemical_formula_sum 'Fe8 Br4 F4'
_space_group_name_H-M_alt 'I -4 2 d'
_space_group_IT_number 122
_space_group_name_Hall 'I -4 2bw'
_cell_length_a 4.9680
_cell_length_b 4.9680
_cell_length_c 13.6961
_cell_angle_alpha 90.00
_cell_angle_beta 90.00
_cell_angle_gamma 90.00
loop_
_atom_site_label
_atom_site_type_symbol
_atom_site_fract_x
_atom_site_fract_y
_atom_site_fract_z
Fe1 Fe 0.1305 0.2500 0.1250
Br1 Br 0.0000 0.0000 0.5000
F1 F 0.0000 0.0000 0.0000

Version two
# Fe2BrF | Alexandria via LeMat-Bulk | GGA+U | optimized geometry
# spin magnetization	24.255	Bohr magnetons per cell
# theoretical density	5.7	g/cm3
data_Fe2BrF
_chemical_formula_sum 'Fe8 Br4 F4'
_space_group_name_H-M_alt 'F m -3 m'
_space_group_IT_number 225
_space_group_name_Hall '-F 4 2 3'
_cell_length_a 6.2560
_cell_length_b 6.2560
_cell_length_c 6.2560
_cell_angle_alpha 90.00
_cell_angle_beta 90.00
_cell_angle_gamma 90.00
loop_
_atom_site_label
_atom_site_type_symbol
_atom_site_fract_x
_atom_site_fract_y
_atom_site_fract_z
Fe1 Fe 0.2500 0.2500 0.2500
Br1 Br 0.0000 0.0000 0.0000
F1 F 0.0000 0.0000 0.5000

Short version: version two is the least stable of them.

Version one
# KFeBrF2 | Alexandria via LeMat-Bulk | GGA+U | optimized geometry
# spin magnetization	8.000	Bohr magnetons per cell
# theoretical density	2.8	g/cm3
data_KFeBrF2
_chemical_formula_sum 'K2 Fe2 Br2 F4'
_space_group_name_H-M_alt 'P 1 21/m 1'
_space_group_IT_number 11
_cell_length_a 7.1435
_cell_length_b 4.3485
_cell_length_c 8.2516
_cell_angle_alpha 90.00
_cell_angle_beta 100.13
_cell_angle_gamma 90.00
loop_
_space_group_symop_operation_xyz
'x,y,z'
'-x,-y,-z'
'-x,y+1/2,-z'
'x,-y+1/2,z'
loop_
_atom_site_label
_atom_site_type_symbol
_atom_site_fract_x
_atom_site_fract_y
_atom_site_fract_z
K1 K 0.2446 0.2500 0.1133
Fe1 Fe 0.0680 0.2500 0.6490
Br1 Br 0.4169 0.2500 0.7490
F1 F 0.0082 0.7500 0.5995
F2 F 0.0481 0.7500 0.1566

Version two
# KFeBrF2 | Alexandria via LeMat-Bulk | GGA+U | optimized geometry
# spin magnetization	4.000	Bohr magnetons per cell
# theoretical density	3.6	g/cm3
data_KFeBrF2
_chemical_formula_sum 'K1 Fe1 Br1 F2'
_space_group_name_H-M_alt 'P 4/m m m'
_space_group_IT_number 123
_space_group_name_Hall '-P 4 2'
_cell_length_a 4.2939
_cell_length_b 4.2939
_cell_length_c 5.2740
_cell_angle_alpha 90.00
_cell_angle_beta 90.00
_cell_angle_gamma 90.00
loop_
_atom_site_label
_atom_site_type_symbol
_atom_site_fract_x
_atom_site_fract_y
_atom_site_fract_z
K1 K 0.0000 0.0000 0.0000
Fe1 Fe 0.5000 0.5000 0.5000
Br1 Br 0.5000 0.5000 0.0000
F1 F 0.0000 0.5000 0.5000

Short version: version two is the least stable of them.

Version one
# NaFeBrF2 | Alexandria via LeMat-Bulk | GGA+U | optimized geometry
# spin magnetization	7.891	Bohr magnetons per cell
# theoretical density	3.1	g/cm3
data_NaFeBrF2
_chemical_formula_sum 'Na2 Fe2 Br2 F4'
_space_group_name_H-M_alt 'P 1 21/m 1'
_space_group_IT_number 11
_cell_length_a 6.4407
_cell_length_b 3.8722
_cell_length_c 8.5787
_cell_angle_alpha 90.00
_cell_angle_beta 99.10
_cell_angle_gamma 90.00
loop_
_space_group_symop_operation_xyz
'x,y,z'
'-x,-y,-z'
'-x,y+1/2,-z'
'x,-y+1/2,z'
loop_
_atom_site_label
_atom_site_type_symbol
_atom_site_fract_x
_atom_site_fract_y
_atom_site_fract_z
Na1 Na 0.2321 0.2500 0.0695
Fe1 Fe 0.0415 0.2500 0.6624
Br1 Br 0.4259 0.2500 0.7667
F1 F 0.0444 0.2500 0.3996
F2 F 0.0645 0.7500 0.1305

Version two
# NaFeBrF2 | Alexandria via LeMat-Bulk | GGA+U | optimized geometry
# spin magnetization	4.000	Bohr magnetons per cell
# theoretical density	3.6	g/cm3
data_NaFeBrF2
_chemical_formula_sum 'Na1 Fe1 Br1 F2'
_space_group_name_H-M_alt 'P 4/m m m'
_space_group_IT_number 123
_space_group_name_Hall '-P 4 2'
_cell_length_a 4.0852
_cell_length_b 4.0852
_cell_length_c 5.4990
_cell_angle_alpha 90.00
_cell_angle_beta 90.00
_cell_angle_gamma 90.00
loop_
_atom_site_label
_atom_site_type_symbol
_atom_site_fract_x
_atom_site_fract_y
_atom_site_fract_z
Na1 Na 0.0000 0.0000 0.0000
Fe1 Fe 0.5000 0.5000 0.5000
Br1 Br 0.5000 0.5000 0.0000
F1 F 0.0000 0.5000 0.5000

Short version: version two is the least stable of them.

Version one
# FeSeBr2F | Alexandria via LeMat-Bulk | GGA+U | optimized geometry
# spin magnetization	3.135	Bohr magnetons per cell
# theoretical density	4.3	g/cm3
data_FeSeBr2F
_chemical_formula_sum 'Fe1 Se1 Br2 F1'
_space_group_name_H-M_alt 'P 4/m m m'
_space_group_IT_number 123
_space_group_name_Hall '-P 4 2'
_cell_length_a 5.5678
_cell_length_b 5.5678
_cell_length_c 3.9209
_cell_angle_alpha 90.00
_cell_angle_beta 90.00
_cell_angle_gamma 90.00
loop_
_atom_site_label
_atom_site_type_symbol
_atom_site_fract_x
_atom_site_fract_y
_atom_site_fract_z
Fe1 Fe 0.0000 0.0000 0.0000
Se1 Se 0.5000 0.5000 0.0000
Br1 Br 0.0000 0.5000 0.5000
F1 F 0.5000 0.5000 0.5000

Version two
# FeSeBr2F | Alexandria via LeMat-Bulk | GGA+U | optimized geometry
# spin magnetization	2.133	Bohr magnetons per cell
# theoretical density	3.9	g/cm3
data_FeSeBr2F
_chemical_formula_sum 'Fe1 Se1 Br2 F1'
_space_group_name_H-M_alt 'P 4/m m m'
_space_group_IT_number 123
_space_group_name_Hall '-P 4 2'
_cell_length_a 5.0237
_cell_length_b 5.0237
_cell_length_c 5.2531
_cell_angle_alpha 90.00
_cell_angle_beta 90.00
_cell_angle_gamma 90.00
loop_
_atom_site_label
_atom_site_type_symbol
_atom_site_fract_x
_atom_site_fract_y
_atom_site_fract_z
Fe1 Fe 0.0000 0.0000 0.0000
Se1 Se 0.0000 0.0000 0.5000
Br1 Br 0.0000 0.5000 0.0000
F1 F 0.5000 0.5000 0.5000

Short version: version one is the least stable of them.